[1]
A relaxed structure of TbTm5Pb4. Source: Alexandria via LeMat-Bulk, functional PBE.

Density in Mg/m³: 9.88
Symmetry: C2/m
ΔE_f in eV/f.u.: -1.7
Total moment in μB per atom: 0.00

Cell lengths 8.930, 8.930, 9.704 Å; angles 92.94, 92.94, 23.48 degrees
Element x y z (fractional)
1 Tb 0.000 0.000 0.000
2 Tm 0.000 0.000 0.500
3 Tm 0.308 0.308 0.612
4 Tm 0.345 0.345 0.248
5 Tm 0.655 0.655 0.752
6 Tm 0.692 0.692 0.388
7 Pb 0.183 0.183 0.066
8 Pb 0.475 0.475 0.745
9 Pb 0.525 0.525 0.255
10 Pb 0.817 0.817 0.934

***

[2]
A relaxed structure of CeSm2HoTm. Source: Alexandria via LeMat-Bulk, functional PBE.

Density in Mg/m³: 8.01
Symmetry: P-1
ΔE_f in eV/f.u.: 0.6
Total moment in μB per atom: 0.25

Cell lengths 6.011, 6.762, 8.535 Å; angles 78.33, 71.25, 89.41 degrees
Element x y z (fractional)
1 Ce 0.000 0.000 0.000
2 Ce 0.000 0.500 0.000
3 Sm 0.277 0.308 0.601
4 Sm 0.315 0.628 0.218
5 Sm 0.685 0.372 0.782
6 Sm 0.723 0.692 0.399
7 Ho 0.142 0.817 0.596
8 Ho 0.858 0.183 0.404
9 Tm 0.444 0.134 0.195
10 Tm 0.556 0.866 0.805

***

[3]
A relaxed structure of Ce2DyTmS4. Source: Alexandria via LeMat-Bulk, functional PBE.

Density in Mg/m³: 7.05
Symmetry: P2/m
Uncorrected formation energy in meV per atom: -2017
Total moment in μB per atom: 0.20

Cell lengths 6.799, 3.918, 6.926 Å; angles 90.00, 109.08, 90.00 degrees
Element x y z (fractional)
1 Ce 0.000 0.000 0.000
2 Ce 0.500 0.500 0.000
3 Dy 0.000 0.500 0.500
4 Tm 0.500 0.000 0.500
5 S 0.248 0.000 0.736
6 S 0.258 0.500 0.266
7 S 0.742 0.500 0.734
8 S 0.752 0.000 0.264

***

[4]
A relaxed structure of CaNbPd6. Source: Alexandria via LeMat-Bulk, functional PBE.

Density in Mg/m³: 9.67
Symmetry: P4/mmm
ΔE_f in eV/f.u.: -4.1
Total moment in μB per atom: 0.00

Cell lengths 4.041, 4.041, 8.113 Å; angles 90.00, 90.00, 90.00 degrees
Element x y z (fractional)
1 Ca 0.000 0.000 0.000
2 Nb 0.000 0.000 0.500
3 Pd 0.000 0.500 0.268
4 Pd 0.000 0.500 0.732
5 Pd 0.500 0.000 0.268
6 Pd 0.500 0.000 0.732
7 Pd 0.500 0.500 0.000
8 Pd 0.500 0.500 0.500